Compound: Ba2ZnIn3
Source: Alexandria
Functional: PBE-GGA
Structure: relaxed

Cell and atoms, written as POSCAR:
```
Ba2ZnIn3
1.0
-3.043 -0.224 -4.176
3.032 -2.526 -5.277
-3.303 -5.701 -0.490
Ba Zn In
2 1 3
Direct
0.549 0.199 0.703
0.447 0.801 0.305
0.166 0.404 0.263
0.849 0.593 0.709
0.828 0.238 0.106
0.160 0.766 0.914
```

Its calculated total energy is -2.634 eV per atom. For the calculated volume, the calculation gives 31.77 Å³/atom. Its formation energy is -39.7 kJ per mole of atoms. The calculation puts the size of the total moment at 0.0 μB/cell. The symmetry is No. 8.